Record 1
An optimized crystal structure of Rb2BeSiCl6. Source: Alexandria via LeMat-Bulk, functional PBE.

Cell and atoms, written as CIF:
```
data_Rb2BeSiCl6
_space_group_name_H-M_alt 'I 4/m m m'
_space_group_IT_number 139
_space_group_name_Hall '-I 4 2'
_cell_length_a 6.950
_cell_length_b 6.950
_cell_length_c 10.154
_cell_angle_alpha 90.00
_cell_angle_beta 90.00
_cell_angle_gamma 90.00
loop_
_atom_site_label
_atom_site_fract_x
_atom_site_fract_y
_atom_site_fract_z
Rb1 0.000 0.500 0.250
Be1 0.000 0.000 0.000
Si1 0.000 0.000 0.500
Cl1 0.000 0.000 0.248
Cl2 0.231 0.231 0.000
```

Results
Uncorrected formation energy, eV per atom: -1.2458
DOS(E_F), states/eV/f.u.: 0.00
Raw total energy, eV per atom: -3.462


Record 2
An optimized crystal structure of In4IrAu. Source: Alexandria via LeMat-Bulk, functional PBE.

Cell and atoms, written as CIF:
```
data_In4IrAu
_space_group_name_H-M_alt 'P 4/m m m'
_space_group_IT_number 123
_space_group_name_Hall '-P 4 2'
_cell_length_a 4.568
_cell_length_b 4.568
_cell_length_c 6.683
_cell_angle_alpha 90.00
_cell_angle_beta 90.00
_cell_angle_gamma 90.00
loop_
_atom_site_label
_atom_site_fract_x
_atom_site_fract_y
_atom_site_fract_z
In1 0.000 0.500 0.237
Ir1 0.000 0.000 0.000
Au1 0.500 0.500 0.500
```

Results
Excess energy over the best structure of this formula in the dataset, kJ/mol of atoms: 0.00
DOS(E_F), states/eV/f.u.: 3.82
Raw total energy, eV per atom: -4.055
Energy relative to the elements, eV per formula unit: -1.2


Record 3
An optimized crystal structure of AcPm2Pr3Sm6. Source: Alexandria via LeMat-Bulk, functional PBE.

Cell and atoms, written as CIF:
```
data_AcPm2Pr3Sm6
_space_group_name_H-M_alt 'C 1 2/m 1'
_space_group_IT_number 12
_cell_length_a 6.390
_cell_length_b 11.068
_cell_length_c 12.174
_cell_angle_alpha 90.00
_cell_angle_beta 100.08
_cell_angle_gamma 90.00
loop_
_space_group_symop_operation_xyz
'x,y,z'
'-x,-y,-z'
'-x,y,-z'
'x,-y,z'
'x+1/2,y+1/2,z'
'-x+1/2,-y+1/2,-z'
'-x+1/2,y+1/2,-z'
'x+1/2,-y+1/2,z'
loop_
_atom_site_label
_atom_site_fract_x
_atom_site_fract_y
_atom_site_fract_z
Ac1 0.000 0.000 0.000
Pm1 0.000 0.333 0.000
Pr1 0.000 0.167 0.500
Pr2 0.000 0.500 0.500
Sm1 0.248 0.332 0.749
Sm2 0.249 0.500 0.252
```

Results
DOS(E_F), states/eV/f.u.: 17.06
Raw total energy, eV per atom: -4.669
Energy relative to the elements, eV per formula unit: 0.2


Record 4
An optimized crystal structure of Th6As3P2Pt. Source: Alexandria via LeMat-Bulk, functional PBE.

Cell and atoms, written as CIF:
```
data_Th6As3P2Pt
_space_group_name_H-M_alt 'C 1 2/m 1'
_space_group_IT_number 12
_cell_length_a 18.460
_cell_length_b 4.161
_cell_length_c 8.502
_cell_angle_alpha 90.00
_cell_angle_beta 103.58
_cell_angle_gamma 90.00
loop_
_space_group_symop_operation_xyz
'x,y,z'
'-x,-y,-z'
'-x,y,-z'
'x,-y,z'
'x+1/2,y+1/2,z'
'-x+1/2,-y+1/2,-z'
'-x+1/2,y+1/2,-z'
'x+1/2,-y+1/2,z'
loop_
_atom_site_label
_atom_site_fract_x
_atom_site_fract_y
_atom_site_fract_z
Th1 0.003 0.000 0.244
Th2 0.167 0.500 0.092
Th3 0.170 0.500 0.576
As1 0.000 0.500 0.500
As2 0.167 0.000 0.833
P1 0.167 0.000 0.334
Pt1 0.000 0.500 0.000
```

Results
DOS(E_F), states/eV/f.u.: 8.21
Raw total energy, eV per atom: -7.663
Energy relative to the elements, eV per formula unit: -16.6


> What is the raw total energy in the fourth record?

-7.663 eV per atom


> The highest DOS(E_F) belongs to which entry?

AcPm2Pr3Sm6


> What is the formula in the fourth record?

Th6As3P2Pt